Material: FeIO3
Method: DFT, PBE with a Hubbard U
State: relaxed Values from VASP.

Computed properties:
Electronic total energy in eV per atom: -5.047

```
&SYSTEM
  ibrav = 0, nat = 10, ntyp = 3
/
ATOMIC_SPECIES
Fe 55.84 Fe.upf
I 126.90 I.upf
O 16.00 O.upf
ATOMIC_POSITIONS crystal
Fe 0.141 0.250 0.779
Fe 0.859 0.750 0.221
I 0.384 0.250 0.289
I 0.616 0.750 0.711
O 0.369 0.934 0.281
O 0.631 0.066 0.719
O 0.631 0.434 0.719
O 0.369 0.566 0.281
O 0.084 0.250 0.049
O 0.916 0.750 0.951
CELL_PARAMETERS angstrom
-3.115 0.761 0.090
-1.274 -4.680 -4.508
-0.762 -4.723 5.119
```


Material: FeIO3
Method: DFT, PBE with a Hubbard U
State: relaxed Values from VASP.

Computed properties:
Fermi-level density of states in states/eV per cell: 5.36
Electronic total energy in eV per atom: -4.219

```
&SYSTEM
  ibrav = 0, nat = 5, ntyp = 3
/
ATOMIC_SPECIES
I 126.90 I.upf
Fe 55.84 Fe.upf
O 16.00 O.upf
ATOMIC_POSITIONS crystal
I 0.000 0.000 0.000
Fe 0.500 0.500 0.500
O 0.000 0.500 0.000
O 0.000 0.000 0.500
O 0.500 0.000 0.000
CELL_PARAMETERS angstrom
-0.632 -3.729 1.593
2.198 1.040 3.307
-3.408 1.362 1.837
```


Material: FeIO2
Method: DFT, PBE with a Hubbard U
State: relaxed Values from VASP.

Computed properties:
Fermi-level density of states in states/eV per cell: 2.89
Electronic total energy in eV per atom: -4.886
Polymorph energy (0 for the lowest one) in eV per formula unit: 0.00

```
&SYSTEM
  ibrav = 0, nat = 4, ntyp = 3
/
ATOMIC_SPECIES
I 126.90 I.upf
Fe 55.84 Fe.upf
O 16.00 O.upf
ATOMIC_POSITIONS crystal
I 0.000 0.000 0.000
Fe 0.500 0.500 0.500
O 0.884 0.884 0.884
O 0.116 0.116 0.116
CELL_PARAMETERS angstrom
-6.421 -1.485 0.292
-4.939 -3.922 1.936
-5.535 -1.051 3.433
```


Material: FeIO2
Method: DFT, PBE with a Hubbard U
State: relaxed Values from VASP.

Computed properties:
Fermi-level density of states in states/eV per cell: 4.28
Electronic total energy in eV per atom: -3.798
Polymorph energy (0 for the lowest one) in eV per formula unit: 4.35

```
&SYSTEM
  ibrav = 0, nat = 4, ntyp = 3
/
ATOMIC_SPECIES
I 126.90 I.upf
Fe 55.84 Fe.upf
O 16.00 O.upf
ATOMIC_POSITIONS crystal
I 0.500 0.500 0.500
Fe 0.000 0.000 0.000
O 0.250 0.250 0.250
O 0.750 0.750 0.750
CELL_PARAMETERS angstrom
-3.926 -1.470 0.181
-3.157 2.243 -1.615
-1.919 -1.296 -3.500
```


Material: FeP2IO
Method: DFT, PBE with a Hubbard U
State: relaxed Values from VASP.

Computed properties:
Fermi-level density of states in states/eV per cell: 4.66
Electronic total energy in eV per atom: -3.376
Polymorph energy (0 for the lowest one) in eV per formula unit: 3.97

```
&SYSTEM
  ibrav = 0, nat = 5, ntyp = 4
/
ATOMIC_SPECIES
I 126.90 I.upf
P 30.97 P.upf
Fe 55.84 Fe.upf
O 16.00 O.upf
ATOMIC_POSITIONS crystal
I 0.000 0.000 0.000
P 0.000 0.500 0.000
P 0.500 0.000 0.000
Fe 0.500 0.500 0.500
O 0.000 0.000 0.500
CELL_PARAMETERS angstrom
5.127 0.000 0.000
0.000 5.127 0.000
0.000 0.000 3.908
```


Material: FeP2IO
Method: DFT, PBE with a Hubbard U
State: relaxed Values from VASP.

Computed properties:
Fermi-level density of states in states/eV per cell: 4.47
Electronic total energy in eV per atom: -4.170
Polymorph energy (0 for the lowest one) in eV per formula unit: 0.00

```
&SYSTEM
  ibrav = 0, nat = 5, ntyp = 4
/
ATOMIC_SPECIES
I 126.90 I.upf
P 30.97 P.upf
Fe 55.84 Fe.upf
O 16.00 O.upf
ATOMIC_POSITIONS crystal
I 0.500 0.500 0.500
P 0.000 0.500 0.000
P 0.500 0.000 0.000
Fe 0.000 0.000 0.000
O 0.000 0.000 0.500
CELL_PARAMETERS angstrom
-4.647 0.972 1.188
-1.300 -4.507 -1.396
0.617 -1.239 3.427
```


- Which formula does entry 6 have?
  FeP2IO


- Look up the electronic total energy of the fifth one.
  -3.376 eV per atom